Compound: CeV2IO9
Source: Alexandria via LeMat-Bulk
Functional: PBE+U
Structure: optimized geometry

Properties
Mass density (g/cm³): 4.57
Total energy (eV per atom): -6.9527
Fermi-level density of states (states/eV per cell): 25.22

a b c (Å): 6.996 14.536 7.323
angles (deg): 90.00 90.00 90.00
Space group Pbcm (No. 57)
Unique sites:
Ce (0.160, 0.049, 0.250) x4
V (0.181, 0.730, 0.750) x4
V (0.460, 0.250, 0.000) x4
I (0.291, 0.060, 0.750) x4
O (0.009, 0.689, 0.250) x4
O (0.079, 0.624, 0.750) x4
O (0.171, 0.511, 0.071) x8
O (0.259, 0.750, 0.000) x4
O (0.328, 0.151, 0.046) x8
O (0.468, 0.721, 0.750) x4
O (0.471, 0.508, 0.750) x4